Entry 1:
A plane-wave DFT calculation with PBE was carried out for a relaxed structure of Cs2RbHfI6.

It has space group R-3m (No. 166, hexagonal axes), with a = 8.5169 Å, b = 8.5169 Å, c = 52.1615 Å, α = 90.00°, β = 90.00° and γ = 120.00°. The distinct sites, in fractional coordinates, are Cs at (0.0000, 0.0000, 0.1406), Cs at (0.0000, 0.0000, 0.3085), Rb at (0.0000, 0.0000, 0.4157), Hf at (0.0000, 0.0000, 0.0000), Hf at (0.0000, 0.0000, 0.5000), I at (0.0090, 0.5045, 0.1345) and I at (0.0140, 0.5070, 0.6993).

The raw total energy comes out at -3.390 eV/atom. The energy relative to the elements, uncorrected is -1198 meV/atom. The calculation puts the density at 3.9 g cm⁻³. The value obtained for the total moment is 1.00 μB/f.u. The energy above the most stable polymorph in this dataset is 0.0 kJ/mol of atoms.



Entry 2:
A plane-wave DFT calculation with PBE was carried out for a relaxed structure of Cs2RbHfI6.

It has space group Fm-3m (No. 225), with a = 12.743 Å, b = 12.743 Å, c = 12.743 Å, α = 90.00°, β = 90.00° and γ = 90.00°. The distinct sites, in fractional coordinates, are Cs at (0.250, 0.250, 0.250), Rb at (0.000, 0.000, 0.000), Hf at (0.000, 0.000, 0.500) and I at (0.000, 0.000, 0.273).

The raw total energy comes out at -3.372 eV/atom. The energy relative to the elements, uncorrected is -1179 meV/atom. The calculation puts the density at 4.1 g cm⁻³. The value obtained for the total moment is 1.00 μB/f.u. The energy above the most stable polymorph in this dataset is 1.8 kJ/mol of atoms.



Entry 3:
A plane-wave DFT calculation with PBE was carried out for a relaxed structure of CsHf2ReI.

It has space group P4/mmm (No. 123), with a = 5.048 Å, b = 5.048 Å, c = 7.359 Å, α = 90.00°, β = 90.00° and γ = 90.00°. The distinct sites, in fractional coordinates, are Cs at (0.000, 0.000, 0.000), Hf at (0.000, 0.500, 0.500), Re at (0.000, 0.000, 0.500) and I at (0.500, 0.500, 0.000).

The raw total energy comes out at -6.207 eV/atom. The energy relative to the elements, uncorrected is 745 meV/atom. The calculation puts the density at 7.1 g cm⁻³. The value obtained for the total moment is 0.00 μB/f.u.



Entry 4:
A plane-wave DFT calculation with PBE was carried out for a relaxed structure of Cs2HfSI6.

It has space group I4/mmm (No. 139), with a = 9.277 Å, b = 9.277 Å, c = 10.971 Å, α = 90.00°, β = 90.00° and γ = 90.00°. The distinct sites, in fractional coordinates, are Cs at (0.000, 0.500, 0.250), Hf at (0.000, 0.000, 0.000), S at (0.000, 0.000, 0.500), I at (0.000, 0.000, 0.262) and I at (0.218, 0.218, 0.000).

The raw total energy comes out at -3.362 eV/atom. The energy relative to the elements, uncorrected is -854 meV/atom. The calculation puts the density at 4.4 g cm⁻³. The value obtained for the total moment is 0.00 μB/f.u.



- Among the records above, which one has the highest energy relative to the elements, uncorrected?
  CsHf2ReI



- Which value of raw total energy does entry 2 give?
  -3.372 eV/atom